Record 1
DFT (PBE) results for a relaxed structure of Cs2BeZnSb.

abc: 7.132 4.434 7.132
angles: 90.00 90.00 90.00
Element x y z (fractional)
Cs  0.000  0.000  0.500
Cs  0.500  0.000  0.000
Sb  0.000  0.500  0.000
Zn  0.500  0.500  0.500
Be  0.000  0.000  0.000

Results
formation energy from raw total energies	168	meV per atom
D(E_F)	3.407	states/eV/cell



Record 2
DFT (PBE) results for a relaxed structure of Zr4Pb2C.

abc: 5.999 6.265 8.828
angles: 90.00 109.86 90.00
Element x y z (fractional)
Zr  0.568  0.493  0.302
Zr  0.163  0.750  0.964
Zr  0.837  0.250  0.036
Zr  0.568  0.007  0.302
Zr  0.911  0.250  0.658
Zr  0.432  0.993  0.698
Zr  0.432  0.507  0.698
Zr  0.089  0.750  0.342
Pb  0.700  0.750  0.023
Pb  0.300  0.250  0.977
Pb  0.142  0.250  0.391
Pb  0.858  0.750  0.609
C  0.329  0.750  0.215
C  0.671  0.250  0.785

Results
distance to the lowest polymorph of the same formula	17.53	kJ per mole of atoms
D(E_F)	9.713	states/eV/cell
energy of formation	-0.1903	eV/atom



Record 3
DFT (PBE) results for a relaxed structure of Pm3GaBr3.

abc: 5.960 5.960 5.960
angles: 90.00 90.00 90.00
Element x y z (fractional)
Pm  0.500  0.000  0.500
Pm  0.500  0.500  0.000
Pm  0.000  0.500  0.500
Ga  0.500  0.500  0.500
Br  0.000  0.500  0.000
Br  0.000  0.000  0.500
Br  0.500  0.000  0.000

Results
formation energy from raw total energies	-1308	meV per atom
distance to the lowest polymorph of the same formula	1.49	kJ per mole of atoms
D(E_F)	1.949	states/eV/cell



Record 4
DFT (PBE) results for a relaxed structure of CaZn2Au2.

abc: 4.031 4.031 6.913
angles: 73.05 73.05 90.00
Element x y z (fractional)
Zn  0.750  0.250  0.500
Zn  0.250  0.750  0.500
Au  0.389  0.389  0.221
Au  0.611  0.611  0.779
Ca  0.000  0.000  0.000

Results
distance to the lowest polymorph of the same formula	0.00	kJ per mole of atoms
D(E_F)	2.445	states/eV/cell
energy of formation	-0.5052	eV/atom



Record 5
DFT (PBE) results for a relaxed structure of PrAgPd3.

abc: 5.568 6.570 6.570
angles: 120.00 90.00 90.00
Element x y z (fractional)
Pr  0.750  0.333  0.667
Pr  0.250  0.667  0.333
Ag  0.500  0.000  0.000
Ag  0.000  0.000  0.000
Pd  0.750  0.800  0.601
Pd  0.250  0.200  0.800
Pd  0.750  0.399  0.200
Pd  0.250  0.601  0.800
Pd  0.250  0.200  0.399
Pd  0.750  0.800  0.200

Results
D(E_F)	2.379	states/eV/cell
energy of formation	-0.3559	eV/atom



Record 6
DFT (PBE) results for a relaxed structure of Co3RuAu.

abc: 4.411 4.411 4.411
angles: 90.00 90.00 90.00
Element x y z (fractional)
Ru  0.000  0.000  0.000
Au  0.500  0.500  0.500
Co  0.000  0.500  0.000
Co  0.000  0.000  0.500
Co  0.500  0.000  0.000

Results
distance to the lowest polymorph of the same formula	0.00	kJ per mole of atoms
D(E_F)	8.774	states/eV/cell
energy of formation	1.4392	eV/atom



Q: The highest D(E_F) belongs to which entry?
A: Zr4Pb2C



Q: Which value of D(E_F) does entry 1 give?
A: 3.407 states/eV/cell



Q: Look up the D(E_F) of the first one.
A: 3.407 states/eV/cell